# 1
This record from Alexandria via LeMat-Bulk describes crystalline Dy4Mg3Sn at its relaxed geometry. The functional is PBE-GGA.

a = 5.3223 Å, b = 5.3223 Å, c = 9.2334 Å
α = 73.25°, β = 73.25°, γ = 60.00°
With the nearest neighbours (Å) after each atom.
Atoms (fractional coordinates):
Mg 0.2456 0.2456 0.2631  8 Dy 3.17-3.37
Mg 0.7544 0.7544 0.7369  8 Dy 3.17-3.37
Mg 0.5000 0.5000 0.5000  8 Dy 3.27-3.28
Sn 0.0000 0.0000 0.0000  8 Dy 3.24-3.26
Dy 0.8759 0.8759 0.3724  7 Mg 3.17-3.27, 1 Sn 3.24
Dy 0.3746 0.3746 0.8762  3 Sn 3.26, 5 Mg 3.28-3.37
Dy 0.1241 0.1241 0.6276  7 Mg 3.17-3.27, 1 Sn 3.24
Dy 0.6254 0.6254 0.1238  3 Sn 3.26, 5 Mg 3.28-3.37

Properties
DOS at the Fermi energy   6.439 states/eV per cell
Calculated total energy   -3.663 eV per atom
ΔH_f (0 K)   -2.11 eV/f.u.
Size of the total moment   0.0 μB/f.u.
Calculated volume   26.7 A^3/atom

---

# 2
This record from Alexandria via LeMat-Bulk describes crystalline Dy2MgSn at its relaxed geometry. The functional is PBE-GGA.

a = 4.4203 Å, b = 4.8661 Å, c = 4.8661 Å
α = 90.00°, β = 90.00°, γ = 90.00°
With the nearest neighbours (Å) after each atom.
Atoms (fractional coordinates):
Mg 0.5000 0.5000 0.5000  8 Dy 3.29, 4 Sn 3.44
Sn 0.5000 0.0000 0.0000  8 Dy 3.29, 4 Mg 3.44
Dy 0.0000 0.0000 0.5000  4 Mg 3.29, 4 Sn 3.29, 4 Dy 3.44
Dy 0.0000 0.5000 0.0000  4 Mg 3.29, 4 Sn 3.29, 4 Dy 3.44

Properties
DOS at the Fermi energy   2.395 states/eV per cell
Calculated total energy   -4.139 eV per atom
ΔH_f (0 K)   -1.76 eV/f.u.
Size of the total moment   0.0 μB/f.u.
Calculated volume   26.2 A^3/atom

---

# 3
This record from Alexandria via LeMat-Bulk describes crystalline Dy2Mg3Sn3 at its relaxed geometry. The functional is PBE-GGA.

a = 4.7214 Å, b = 4.6142 Å, c = 8.9348 Å
α = 90.00°, β = 90.00°, γ = 90.00°
With the nearest neighbours (Å) after each atom.
Atoms (fractional coordinates):
Dy 0.0000 0.0000 0.7429  6 Sn 3.17-3.26, 6 Mg 3.29-3.30
Dy 0.0000 0.0000 0.2571  6 Sn 3.17-3.26, 6 Mg 3.29-3.30
Mg 0.5000 0.5000 0.7554  2 Mg 3.18, 6 Sn 3.22-3.28, 4 Dy 3.30
Mg 0.5000 0.5000 0.2446  2 Mg 3.18, 6 Sn 3.22-3.28, 4 Dy 3.30
Mg 0.5000 0.0000 0.0000  4 Mg 3.18, 4 Dy 3.29, 4 Sn 3.30
Sn 0.5000 0.0000 0.5000  4 Dy 3.21, 4 Mg 3.24, 4 Sn 3.30
Sn 0.0000 0.5000 0.0000  8 Mg 3.22-3.30, 4 Dy 3.26
Sn 0.0000 0.5000 0.5000  4 Dy 3.17, 4 Mg 3.28, 4 Sn 3.30

Properties
DOS at the Fermi energy   2.968 states/eV per cell
Calculated total energy   -3.697 eV per atom
ΔH_f (0 K)   -3.58 eV/f.u.
Size of the total moment   0.0 μB/f.u.
Calculated volume   24.3 A^3/atom